Al2NiBr after structural relaxation, computed with PBE.

Results
DFT total energy (eV per atom): -3.3234
Energy relative to the elements, uncorrected (eV per formula unit): 1.6
Total magnetization (μB/f.u.): 0.0

a b c (Å): 6.198 6.198 6.198
angles (deg): 145.27 145.27 49.93
Fractional positions:
Ni: 0.750 0.250 0.500
Al: 0.000 0.000 0.000
Al: 0.250 0.750 0.500
Br: 0.500 0.500 0.000



Se2ICl6 after structural relaxation, computed with PBE.

Results
DFT total energy (eV per atom): -2.2719
Energy relative to the elements, uncorrected (eV per formula unit): -0.8
Total magnetization (μB/f.u.): 0.0

a b c (Å): 8.575 6.979 6.979
angles (deg): 113.79 104.18 104.18
Fractional positions:
Se: 0.500 0.890 0.610
Se: 0.500 0.110 0.390
I: 0.000 0.000 0.500
Cl: 0.220 0.893 0.117
Cl: 0.780 0.383 0.607
Cl: 0.780 0.107 0.883
Cl: 0.220 0.617 0.393
Cl: 0.311 0.245 0.745
Cl: 0.689 0.755 0.255



MnSbRh2 after structural relaxation, computed with PBE.

Results
DFT total energy (eV per atom): -6.4668
Energy relative to the elements, uncorrected (eV per formula unit): 2.1
Total magnetization (μB/f.u.): 0.0

a b c (Å): 5.480 5.480 6.881
angles (deg): 66.54 66.54 90.00
Fractional positions:
Sb: 0.000 0.000 0.000
Sb: 0.750 0.250 0.500
Mn: 0.500 0.500 0.000
Mn: 0.250 0.750 0.500
Rh: 0.573 0.125 0.250
Rh: 0.177 0.625 0.250
Rh: 0.375 0.427 0.750
Rh: 0.875 0.823 0.750



Tb2CdPd5Au after structural relaxation, computed with PBE.

Results
DFT total energy (eV per atom): -4.6652
E_form (eV/atom): -0.285
Total magnetization (μB/f.u.): 0.0

a b c (Å): 8.345 8.345 8.030
angles (deg): 121.31 121.31 90.00
Fractional positions:
Tb: 0.128 0.372 0.000
Tb: 0.628 0.128 0.000
Tb: 0.372 0.872 0.000
Tb: 0.872 0.628 0.000
Cd: 0.250 0.250 0.500
Cd: 0.750 0.750 0.500
Pd: 0.940 0.440 0.268
Pd: 0.671 0.171 0.732
Pd: 0.060 0.560 0.732
Pd: 0.171 0.060 0.732
Pd: 0.560 0.671 0.732
Pd: 0.829 0.940 0.268
Pd: 0.440 0.329 0.268
Pd: 0.329 0.829 0.268
Pd: 0.500 0.500 0.000
Pd: 0.000 0.000 0.000
Au: 0.250 0.750 0.500
Au: 0.750 0.250 0.500



ZrBr2 after structural relaxation, computed with PBE.

Results
DFT total energy (eV per atom): -4.0552
Energy relative to the elements, uncorrected (eV per formula unit): -0.3
Total magnetization (μB/f.u.): 1.8

a b c (Å): 6.727 6.727 12.369
angles (deg): 90.00 90.00 120.00
Site moments in Bohr magnetons follow the coordinates.
Fractional positions:
Br: 0.000 0.000 0.000  -0.03
Br: 0.000 0.000 0.500  -0.03
Br: 0.837 0.673 0.250  -0.02
Br: 0.163 0.327 0.750  -0.02
Br: 0.327 0.163 0.250  -0.02
Br: 0.837 0.163 0.250  -0.02
Br: 0.163 0.837 0.750  -0.02
Br: 0.673 0.837 0.750  -0.02
Zr: 0.333 0.667 0.888  1.09
Zr: 0.667 0.333 0.388  1.09
Zr: 0.667 0.333 0.112  1.09
Zr: 0.333 0.667 0.612  1.09



CsHg2Ge2 after structural relaxation, computed with PBE.

Results
DFT total energy (eV per atom): -1.9155
E_form (eV/atom): 0.223
Total magnetization (μB/f.u.): 0.0

a b c (Å): 9.169 9.169 3.339
angles (deg): 90.00 90.00 90.00
Fractional positions:
Cs: 0.000 0.000 0.000
Cs: 0.500 0.500 0.000
Ge: 0.144 0.644 0.500
Ge: 0.644 0.856 0.500
Ge: 0.856 0.356 0.500
Ge: 0.356 0.144 0.500
Hg: 0.366 0.866 0.000
Hg: 0.866 0.634 0.000
Hg: 0.634 0.134 0.000
Hg: 0.134 0.366 0.000